Record 1
# YCr2Te

An optimized crystal structure of YCr2Te (PBE-GGA, Alexandria via LeMat-Bulk).

Values from the calculation:
V = 89.5 Å³ per cell
space-group type = No. 139
density of states at the Fermi level = 0.747 states/eV per atom
polymorph energy (0 for the lowest one) = 0.357 eV/atom
energy relative to the elements, uncorrected = 0.2707 eV per atom

Cell lengths 5.750, 5.750, 5.750 Å; angles 136.33, 136.33, 63.47 degrees
Sites, in units of the cell vectors:
Cr: 0.000 0.000 0.000
Te: 0.250 0.750 0.500
Y: 0.750 0.250 0.500
Cr: 0.500 0.500 0.000

***

Record 2
# YCr2Te

An optimized crystal structure of YCr2Te (PBE-GGA, Alexandria via LeMat-Bulk).

Values from the calculation:
V = 84.0 Å³ per cell
space-group type = No. 160
density of states at the Fermi level = 1.106 states/eV per atom
polymorph energy (0 for the lowest one) = 0.000 eV/atom
energy relative to the elements, uncorrected = -0.0863 eV per atom

Cell lengths 5.995, 5.995, 5.995 Å; angles 41.09, 41.09, 41.09 degrees
Sites, in units of the cell vectors:
Te: 0.532 0.532 0.532
Cr: 0.274 0.274 0.274
Cr: 0.954 0.954 0.954
Y: 0.740 0.740 0.740

***

Record 3
# YCrTe2

An optimized crystal structure of YCrTe2 (PBE-GGA, Alexandria via LeMat-Bulk).

Values from the calculation:
V = 110.3 Å³ per cell
space-group type = No. 12
density of states at the Fermi level = 0.884 states/eV per atom
polymorph energy (0 for the lowest one) = 0.064 eV/atom
energy relative to the elements, uncorrected = -0.6427 eV per atom

Cell lengths 4.331, 4.331, 7.239 Å; angles 72.53, 72.53, 60.02 degrees
Sites, in units of the cell vectors:
Cr: 0.250 0.250 0.250
Te: 0.507 0.507 0.480
Te: 0.993 0.993 0.020
Y: 0.750 0.750 0.750

***

Record 4
# Y2CrTe

An optimized crystal structure of Y2CrTe (PBE-GGA, Alexandria via LeMat-Bulk).

Values from the calculation:
V = 110.6 Å³ per cell
space-group type = No. 166
density of states at the Fermi level = 0.664 states/eV per atom
polymorph energy (0 for the lowest one) = 0.190 eV/atom
energy relative to the elements, uncorrected = -0.2528 eV per atom

Cell lengths 8.383, 8.383, 8.383 Å; angles 27.47, 27.47, 27.47 degrees
Sites, in units of the cell vectors:
Cr: 0.250 0.250 0.250
Y: 0.997 0.997 0.997
Te: 0.750 0.750 0.750
Y: 0.503 0.503 0.503

***

no.,spin magnetization (μB per atom)
1,2.040
2,0.034
3,1.126
4,0.942